Entry 1:
Here is an optimized crystal structure of CaTe2PtI from Alexandria. Energies are from PBE.

Calculated values
Total moment   0.00 μB/f.u.
Calculated total energy   -3.551 eV/atom
Uncorrected formation energy   -376 meV per atom
Polymorph energy (0 for the lowest one)   0.00 eV/f.u.
Fermi-level density of states   0.747 states/eV/atom

```
data_CaTe2PtI
_chemical_formula_sum 'Ca1 Te2 Pt1 I1'
_cell_length_a 5.388
_cell_length_b 5.388
_cell_length_c 5.525
_cell_angle_alpha 90.00
_cell_angle_beta 90.00
_cell_angle_gamma 90.00
_symmetry_space_group_name_H-M 'P 1'
_symmetry_Int_Tables_number 1
_symmetry_space_group_name_Hall 'P 1'
loop_
_atom_site_label
_atom_site_fract_x
_atom_site_fract_y
_atom_site_fract_z
Pt1 0.000 0.000 0.000
Te1 0.000 0.500 0.000
Te2 0.500 0.000 0.000
I1 0.000 0.000 0.500
Ca1 0.500 0.500 0.500
```

=====

Entry 2:
Here is an optimized crystal structure of CaTl2PtI from Alexandria. Energies are from PBE.

Calculated values
Total moment   0.00 μB/f.u.
Calculated total energy   -3.393 eV/atom
Uncorrected formation energy   -528 meV per atom
Fermi-level density of states   0.457 states/eV/atom

```
data_CaTl2PtI
_chemical_formula_sum 'Ca1 Tl2 Pt1 I1'
_cell_length_a 5.346
_cell_length_b 5.346
_cell_length_c 5.726
_cell_angle_alpha 90.00
_cell_angle_beta 90.00
_cell_angle_gamma 90.00
_symmetry_space_group_name_H-M 'P 1'
_symmetry_Int_Tables_number 1
_symmetry_space_group_name_Hall 'P 1'
loop_
_atom_site_label
_atom_site_fract_x
_atom_site_fract_y
_atom_site_fract_z
Ca1 0.000 0.000 0.500
Tl1 0.500 0.000 0.000
I1 0.500 0.500 0.500
Pt1 0.000 0.000 0.000
Tl2 0.000 0.500 0.000
```

=====

Entry 3:
Here is an optimized crystal structure of CaPtW2I from Alexandria. Energies are from PBE.

Calculated values
Total moment   0.00 μB/f.u.
Calculated total energy   -4.959 eV/atom
Uncorrected formation energy   2140 meV per atom
Fermi-level density of states   1.199 states/eV/atom

```
data_CaPtW2I
_chemical_formula_sum 'Ca1 Pt1 W2 I1'
_cell_length_a 4.866
_cell_length_b 5.440
_cell_length_c 4.866
_cell_angle_alpha 90.00
_cell_angle_beta 90.00
_cell_angle_gamma 90.00
_symmetry_space_group_name_H-M 'P 1'
_symmetry_Int_Tables_number 1
_symmetry_space_group_name_Hall 'P 1'
loop_
_atom_site_label
_atom_site_fract_x
_atom_site_fract_y
_atom_site_fract_z
Pt1 0.500 0.500 0.500
I1 0.000 0.000 0.000
Ca1 0.000 0.500 0.000
W1 0.000 0.000 0.500
W2 0.500 0.000 0.000
```

=====

Entry 4:
Here is an optimized crystal structure of CaPt2WI from Alexandria. Energies are from PBE.

Calculated values
Total moment   0.00 μB/f.u.
Calculated total energy   -3.611 eV/atom
Uncorrected formation energy   2106 meV per atom
Fermi-level density of states   2.189 states/eV/atom

```
data_CaPt2WI
_chemical_formula_sum 'Ca1 Pt2 W1 I1'
_cell_length_a 4.965
_cell_length_b 5.095
_cell_length_c 4.965
_cell_angle_alpha 90.00
_cell_angle_beta 90.00
_cell_angle_gamma 90.00
_symmetry_space_group_name_H-M 'P 1'
_symmetry_Int_Tables_number 1
_symmetry_space_group_name_Hall 'P 1'
loop_
_atom_site_label
_atom_site_fract_x
_atom_site_fract_y
_atom_site_fract_z
Pt1 0.500 0.000 0.000
Ca1 0.000 0.000 0.000
W1 0.000 0.500 0.000
Pt2 0.000 0.000 0.500
I1 0.500 0.500 0.500
```

=====

Entry 5:
Here is an optimized crystal structure of CaPu2I6 from Alexandria. Energies are from PBE.

Calculated values
Total moment   12.00 μB/f.u.
Calculated total energy   -5.672 eV/atom
Uncorrected formation energy   -1232 meV per atom
Fermi-level density of states   3.165 states/eV/atom

```
data_CaPu2I6
_chemical_formula_sum 'Ca1 Pu2 I6'
_cell_length_a 4.447
_cell_length_b 8.877
_cell_length_c 11.068
_cell_angle_alpha 107.74
_cell_angle_beta 90.00
_cell_angle_gamma 104.50
_symmetry_space_group_name_H-M 'P 1'
_symmetry_Int_Tables_number 1
_symmetry_space_group_name_Hall 'P 1'
loop_
_atom_site_label
_atom_site_fract_x
_atom_site_fract_y
_atom_site_fract_z
Ca1 0.000 0.000 0.500
Pu1 0.671 0.341 0.845
Pu2 0.329 0.659 0.155
I1 0.694 0.389 0.139
I2 0.635 0.270 0.539
I3 0.970 0.940 0.202
I4 0.306 0.611 0.861
I5 0.365 0.730 0.461
I6 0.030 0.060 0.798
```

=====

Entry 6:
Here is an optimized crystal structure of CaPuI6 from Alexandria. Energies are from PBE.

Calculated values
Total moment   4.00 μB/f.u.
Calculated total energy   -4.304 eV/atom
Uncorrected formation energy   -1100 meV per atom
Fermi-level density of states   1.604 states/eV/atom

```
data_CaPuI6
_chemical_formula_sum 'Ca1 Pu1 I6'
_cell_length_a 7.608
_cell_length_b 8.018
_cell_length_c 8.018
_cell_angle_alpha 123.28
_cell_angle_beta 98.63
_cell_angle_gamma 98.63
_symmetry_space_group_name_H-M 'P 1'
_symmetry_Int_Tables_number 1
_symmetry_space_group_name_Hall 'P 1'
loop_
_atom_site_label
_atom_site_fract_x
_atom_site_fract_y
_atom_site_fract_z
I1 0.243 0.392 0.091
Pu1 0.000 0.000 0.000
I2 0.759 0.242 0.242
I3 0.241 0.758 0.758
Ca1 0.500 0.500 0.500
I4 0.757 0.608 0.909
I5 0.243 0.091 0.392
I6 0.757 0.909 0.608
```

=====

Entry 7:
Here is an optimized crystal structure of CaPuI2 from Alexandria. Energies are from PBE.

Calculated values
Total moment   6.51 μB/f.u.
Calculated total energy   -5.573 eV/atom
Uncorrected formation energy   -715 meV per atom
Fermi-level density of states   1.536 states/eV/atom

```
data_CaPuI2
_chemical_formula_sum 'Ca1 Pu1 I2'
_cell_length_a 4.085
_cell_length_b 4.085
_cell_length_c 11.104
_cell_angle_alpha 79.40
_cell_angle_beta 79.40
_cell_angle_gamma 60.00
_symmetry_space_group_name_H-M 'P 1'
_symmetry_Int_Tables_number 1
_symmetry_space_group_name_Hall 'P 1'
loop_
_atom_site_label
_atom_site_fract_x
_atom_site_fract_y
_atom_site_fract_z
I1 0.899 0.899 0.302
Pu1 0.500 0.500 0.500
Ca1 0.000 0.000 0.000
I2 0.101 0.101 0.698
```

=====

Entry 8:
Here is an optimized crystal structure of RbCa2PuI8 from Alexandria. Energies are from PBE.

Calculated values
Total moment   5.00 μB/f.u.
Calculated total energy   -3.998 eV/atom
Uncorrected formation energy   -1356 meV per atom
Fermi-level density of states   0.878 states/eV/atom

```
data_RbCa2PuI8
_chemical_formula_sum 'Rb1 Ca2 Pu1 I8'
_cell_length_a 7.742
_cell_length_b 7.420
_cell_length_c 9.710
_cell_angle_alpha 89.96
_cell_angle_beta 89.98
_cell_angle_gamma 89.62
_symmetry_space_group_name_H-M 'P 1'
_symmetry_Int_Tables_number 1
_symmetry_space_group_name_Hall 'P 1'
loop_
_atom_site_label
_atom_site_fract_x
_atom_site_fract_y
_atom_site_fract_z
I1 0.166 0.747 0.216
I2 0.668 0.741 0.000
Ca1 0.500 0.500 0.748
I3 0.627 0.730 0.500
I4 0.166 0.747 0.785
Rb1 0.000 0.000 0.500
I5 0.834 0.253 0.784
Pu1 0.000 0.000 0.000
I6 0.373 0.270 0.500
I7 0.834 0.253 0.215
Ca2 0.500 0.500 0.252
I8 0.332 0.259 0.000
```